The following is a DFT calculation (PBE-GGA) of Tb6Bi3As2Se after structural relaxation.

Unit cell a=4.2917 b=8.6561 c=9.6509 alpha=103.56 beta=102.85 gamma=90.00
Atoms (fractional coordinates):
Tb1 0.0065 0.2440 0.0130
Tb2 0.9935 0.7560 0.9870
Tb3 0.6721 0.5700 0.3443
Tb4 0.3279 0.4300 0.6557
Tb5 0.6648 0.0989 0.3296
Tb6 0.3352 0.9011 0.6704
Bi1 0.5000 0.5000 0.0000
Bi2 0.1648 0.8333 0.3296
Bi3 0.8352 0.1667 0.6704
As1 0.8333 0.6675 0.6667
As2 0.1667 0.3325 0.3333
Se1 0.5000 0.0000 0.0000

Output
Magnetization   0.00 μB/f.u.
DOS(E_F)   2.3 states/eV/f.u.

---

The following is a DFT calculation (PBE-GGA) of TcBiAs2Se after structural relaxation.

Unit cell a=5.3980 b=5.3980 c=5.4512 alpha=90.00 beta=90.00 gamma=90.00
Atoms (fractional coordinates):
Bi1 0.0000 0.0000 0.0000
Se1 0.0000 0.0000 0.5000
Tc1 0.5000 0.5000 0.5000
As1 0.5000 0.0000 0.0000
As2 0.0000 0.5000 0.0000

Output
Magnetization   3.25 μB/f.u.
DOS(E_F)   3.9 states/eV/f.u.

---

no.,raw formation energy (meV per atom)
1,-1242
2,1555